Density functional theory data (PBE) for a relaxed AcTb4Mg crystal. Values from VASP.

SG: No. 123
Magnetization (Bohr magnetons per cell): 0.00
DFT formation energy (eV per atom): 0.00
N(E_F) (states/eV per cell): 8.5

The structure in Quantum ESPRESSO input format:
```
&SYSTEM
  ibrav = 0, nat = 6, ntyp = 3
/
ATOMIC_SPECIES
Ac 227.00 Ac.upf
Tb 158.93 Tb.upf
Mg 24.30 Mg.upf
CELL_PARAMETERS angstrom
3.727 0.000 0.000
0.000 3.727 0.000
0.000 0.000 14.065
ATOMIC_POSITIONS crystal
Ac 0.000 0.000 0.000
Tb 0.000 0.000 0.358
Tb 0.000 0.000 0.642
Tb 0.500 0.500 0.190
Tb 0.500 0.500 0.810
Mg 0.500 0.500 0.500
```

Density functional theory data (PBE) for a relaxed Ac2TbMg9 crystal. Values from VASP.

SG: No. 166
Magnetization (Bohr magnetons per cell): 0.00
DFT formation energy (eV per atom): -0.04
N(E_F) (states/eV per cell): 10.1

The structure in Quantum ESPRESSO input format:
```
&SYSTEM
  ibrav = 0, nat = 12, ntyp = 3
/
ATOMIC_SPECIES
Ac 227.00 Ac.upf
Tb 158.93 Tb.upf
Mg 24.30 Mg.upf
CELL_PARAMETERS angstrom
3.102 1.791 10.030
-3.102 1.791 10.030
0.000 -3.582 10.030
ATOMIC_POSITIONS crystal
Ac 0.141 0.141 0.141
Ac 0.859 0.859 0.859
Tb 0.000 0.000 0.000
Mg 0.079 0.581 0.581
Mg 0.334 0.334 0.334
Mg 0.419 0.419 0.921
Mg 0.419 0.921 0.419
Mg 0.500 0.500 0.500
Mg 0.581 0.079 0.581
Mg 0.581 0.581 0.079
Mg 0.666 0.666 0.666
Mg 0.921 0.419 0.419
```

Density functional theory data (PBE) for a relaxed Ac2TbMg2 crystal. Values from VASP.

SG: No. 65
Magnetization (Bohr magnetons per cell): 0.00
DFT formation energy (eV per atom): 0.02
N(E_F) (states/eV per cell): 5.6

The structure in Quantum ESPRESSO input format:
```
&SYSTEM
  ibrav = 0, nat = 5, ntyp = 3
/
ATOMIC_SPECIES
Ac 227.00 Ac.upf
Tb 158.93 Tb.upf
Mg 24.30 Mg.upf
CELL_PARAMETERS angstrom
1.996 -11.089 0.000
1.996 11.089 0.000
0.000 0.000 3.912
ATOMIC_POSITIONS crystal
Ac 0.175 0.825 0.000
Ac 0.825 0.175 0.000
Tb 0.000 0.000 0.000
Mg 0.423 0.577 0.500
Mg 0.577 0.423 0.500
```

Density functional theory data (PBE) for a relaxed AcTbMg crystal. Values from VASP.

SG: No. 12
Magnetization (Bohr magnetons per cell): 0.00
DFT formation energy (eV per atom): -0.03
N(E_F) (states/eV per cell): 6.7
ΔE to the lowest computed polymorph (meV/atom): 0

The structure in Quantum ESPRESSO input format:
```
&SYSTEM
  ibrav = 0, nat = 6, ntyp = 3
/
ATOMIC_SPECIES
Ac 227.00 Ac.upf
Tb 158.93 Tb.upf
Mg 24.30 Mg.upf
CELL_PARAMETERS angstrom
8.897 -1.961 0.000
8.897 1.961 0.000
-0.002 0.000 5.819
ATOMIC_POSITIONS crystal
Ac 0.087 0.087 0.249
Ac 0.913 0.913 0.751
Tb 0.231 0.231 0.750
Tb 0.769 0.769 0.250
Mg 0.420 0.420 0.251
Mg 0.580 0.580 0.749
```

Density functional theory data (PBE) for a relaxed AcTb2Mg9 crystal. Values from VASP.

SG: No. 166
Magnetization (Bohr magnetons per cell): 0.00
DFT formation energy (eV per atom): -0.07
N(E_F) (states/eV per cell): 11.7

The structure in Quantum ESPRESSO input format:
```
&SYSTEM
  ibrav = 0, nat = 12, ntyp = 3
/
ATOMIC_SPECIES
Ac 227.00 Ac.upf
Tb 158.93 Tb.upf
Mg 24.30 Mg.upf
CELL_PARAMETERS angstrom
3.064 1.769 9.870
-3.064 1.769 9.870
0.000 -3.538 9.870
ATOMIC_POSITIONS crystal
Ac 0.000 0.000 0.000
Tb 0.146 0.146 0.146
Tb 0.854 0.854 0.854
Mg 0.080 0.588 0.588
Mg 0.334 0.334 0.334
Mg 0.412 0.412 0.920
Mg 0.412 0.920 0.412
Mg 0.500 0.500 0.500
Mg 0.588 0.080 0.588
Mg 0.588 0.588 0.080
Mg 0.666 0.666 0.666
Mg 0.920 0.412 0.412
```

Density functional theory data (PBE) for a relaxed AcTbMg crystal. Values from VASP.

SG: No. 65
Magnetization (Bohr magnetons per cell): 0.00
DFT formation energy (eV per atom): 0.57
N(E_F) (states/eV per cell): 9.5
ΔE to the lowest computed polymorph (meV/atom): 607

The structure in Quantum ESPRESSO input format:
```
&SYSTEM
  ibrav = 0, nat = 6, ntyp = 3
/
ATOMIC_SPECIES
Ac 227.00 Ac.upf
Tb 158.93 Tb.upf
Mg 24.30 Mg.upf
CELL_PARAMETERS angstrom
4.503 -5.032 0.000
4.503 5.032 0.000
0.000 0.000 5.503
ATOMIC_POSITIONS crystal
Ac 0.184 0.816 0.000
Ac 0.816 0.184 0.000
Tb 0.328 0.328 0.500
Tb 0.672 0.672 0.500
Mg 0.000 0.000 0.500
Mg 0.500 0.500 0.000
```

Density functional theory data (PBE) for a relaxed Ac2TbMg6 crystal. Values from VASP.

SG: No. 191
Magnetization (Bohr magnetons per cell): 0.00
DFT formation energy (eV per atom): -0.05
N(E_F) (states/eV per cell): 10.3

The structure in Quantum ESPRESSO input format:
```
&SYSTEM
  ibrav = 0, nat = 9, ntyp = 3
/
ATOMIC_SPECIES
Ac 227.00 Ac.upf
Tb 158.93 Tb.upf
Mg 24.30 Mg.upf
CELL_PARAMETERS angstrom
9.298 0.000 0.000
-4.649 8.053 0.000
0.000 0.000 3.580
ATOMIC_POSITIONS crystal
Ac 0.333 0.667 0.000
Ac 0.667 0.333 0.000
Tb 0.000 0.000 0.000
Mg 0.000 0.324 0.500
Mg 0.000 0.676 0.500
Mg 0.324 0.000 0.500
Mg 0.324 0.324 0.500
Mg 0.676 0.000 0.500
Mg 0.676 0.676 0.500
```

Density functional theory data (PBE) for a relaxed Ac4TbMg5 crystal. Values from VASP.

SG: No. 123
Magnetization (Bohr magnetons per cell): 0.00
DFT formation energy (eV per atom): -0.07
N(E_F) (states/eV per cell): 11.4

The structure in Quantum ESPRESSO input format:
```
&SYSTEM
  ibrav = 0, nat = 10, ntyp = 3
/
ATOMIC_SPECIES
Ac 227.00 Ac.upf
Tb 158.93 Tb.upf
Mg 24.30 Mg.upf
CELL_PARAMETERS angstrom
4.053 0.000 0.000
0.000 4.053 0.000
0.000 0.000 20.291
ATOMIC_POSITIONS crystal
Ac 0.000 0.000 0.104
Ac 0.000 0.000 0.310
Ac 0.000 0.000 0.690
Ac 0.000 0.000 0.896
Tb 0.000 0.000 0.500
Mg 0.500 0.500 0.000
Mg 0.500 0.500 0.206
Mg 0.500 0.500 0.416
Mg 0.500 0.500 0.584
Mg 0.500 0.500 0.794
```

Density functional theory data (PBE) for a relaxed AcTbMg crystal. Values from VASP.

SG: No. 107
Magnetization (Bohr magnetons per cell): 0.00
DFT formation energy (eV per atom): -0.02
N(E_F) (states/eV per cell): 4.1
ΔE to the lowest computed polymorph (meV/atom): 15

The structure in Quantum ESPRESSO input format:
```
&SYSTEM
  ibrav = 0, nat = 3, ntyp = 3
/
ATOMIC_SPECIES
Ac 227.00 Ac.upf
Tb 158.93 Tb.upf
Mg 24.30 Mg.upf
CELL_PARAMETERS angstrom
-1.967 1.967 6.527
1.967 -1.967 6.527
1.967 1.967 -6.527
ATOMIC_POSITIONS crystal
Ac 0.000 0.000 0.000
Tb 0.308 0.308 0.000
Mg 0.673 0.673 0.000
```

Density functional theory data (PBE) for a relaxed AcTb2Mg crystal. Values from VASP.

SG: No. 123
Magnetization (Bohr magnetons per cell): 0.00
DFT formation energy (eV per atom): 0.06
N(E_F) (states/eV per cell): 6.9
ΔE to the lowest computed polymorph (meV/atom): 67

The structure in Quantum ESPRESSO input format:
```
&SYSTEM
  ibrav = 0, nat = 4, ntyp = 3
/
ATOMIC_SPECIES
Ac 227.00 Ac.upf
Tb 158.93 Tb.upf
Mg 24.30 Mg.upf
CELL_PARAMETERS angstrom
5.031 0.000 0.000
0.000 5.031 0.000
0.000 0.000 5.226
ATOMIC_POSITIONS crystal
Ac 0.000 0.000 0.000
Tb 0.000 0.500 0.500
Tb 0.500 0.000 0.500
Mg 0.500 0.500 0.000
```

Density functional theory data (PBE) for a relaxed AcTbMg4 crystal. Values from VASP.

SG: No. 216
Magnetization (Bohr magnetons per cell): 0.00
DFT formation energy (eV per atom): -0.09
N(E_F) (states/eV per cell): 5.2

The structure in Quantum ESPRESSO input format:
```
&SYSTEM
  ibrav = 0, nat = 6, ntyp = 3
/
ATOMIC_SPECIES
Ac 227.00 Ac.upf
Tb 158.93 Tb.upf
Mg 24.30 Mg.upf
CELL_PARAMETERS angstrom
0.000 4.384 4.384
4.384 0.000 4.384
4.384 4.384 0.000
ATOMIC_POSITIONS crystal
Ac 0.000 0.000 0.000
Tb 0.750 0.750 0.750
Mg 0.376 0.376 0.376
Mg 0.376 0.376 0.873
Mg 0.376 0.873 0.376
Mg 0.873 0.376 0.376
```

Density functional theory data (PBE) for a relaxed Ac14TbMg crystal. Values from VASP.

SG: No. 38
Magnetization (Bohr magnetons per cell): 0.00
DFT formation energy (eV per atom): 0.02
N(E_F) (states/eV per cell): 21.6

The structure in Quantum ESPRESSO input format:
```
&SYSTEM
  ibrav = 0, nat = 16, ntyp = 3
/
ATOMIC_SPECIES
Ac 227.00 Ac.upf
Tb 158.93 Tb.upf
Mg 24.30 Mg.upf
CELL_PARAMETERS angstrom
11.160 0.000 0.000
0.000 5.542 5.542
0.000 -5.542 5.542
ATOMIC_POSITIONS crystal
Ac 0.000 0.000 0.000
Ac 0.000 0.001 0.498
Ac 0.000 0.498 0.001
Ac 0.000 0.499 0.499
Ac 0.254 0.750 0.750
Ac 0.257 0.249 0.749
Ac 0.257 0.749 0.249
Ac 0.259 0.249 0.249
Ac 0.500 0.501 0.996
Ac 0.500 0.996 0.501
Ac 0.741 0.249 0.249
Ac 0.743 0.249 0.749
Ac 0.743 0.749 0.249
Ac 0.746 0.750 0.750
Tb 0.500 0.999 0.999
Mg 0.500 0.500 0.500
```